1.
The following is a GGA-PBE calculation of a relaxed structure of ZnCdMo2, from Alexandria via LeMat-Bulk.

Energy relative to the lowest polymorph listed for this composition   0.000 eV/atom
ΔE_f   0.183 eV/atom
Uncorrected energy   -5.78 eV/atom

a b c (Å): 3.2450 4.4875 9.2612
angles (deg): 90.00 90.00 90.00
With the nearest neighbours (Å) after each atom.
Space group Cmm2 (No. 35)
Inequivalent atoms, fractional coordinates:
Zn 0.0000 0.0000 0.0000 x2  2 Mo 2.71, 4 Zn 2.77, 2 Cd 2.95
Cd 0.0000 0.5000 0.2666 x2  4 Cd 2.77, 2 Zn 2.95, 2 Mo 2.97
Mo 0.0000 0.0000 0.5350 x2  6 Mo 2.68-2.77, 2 Cd 2.97
Mo 0.0000 0.5000 0.7656 x2  6 Mo 2.68-2.77, 2 Zn 2.71

***

2.
The following is a GGA-PBE calculation of a relaxed structure of ZnCdMo2, from Alexandria via LeMat-Bulk.

Energy relative to the lowest polymorph listed for this composition   0.064 eV/atom
ΔE_f   0.247 eV/atom
Uncorrected energy   -5.72 eV/atom

a b c (Å): 2.7720 4.4708 5.4069
angles (deg): 90.00 97.03 90.00
With the nearest neighbours (Å) after each atom.
Space group Pm (No. 6)
Inequivalent atoms, fractional coordinates:
Zn 0.0000 0.0000 0.0000 x1  2 Cd 2.65, 3 Mo 2.66-2.84, 2 Zn 2.77
Cd 0.9617 0.5000 0.2610 x1  2 Zn 2.65, 2 Cd 2.77, 2 Mo 2.82-2.97
Mo 0.3794 0.5000 0.7627 x1  4 Mo 2.63-2.77, 1 Cd 2.82, 2 Zn 2.84
Mo 0.5588 0.0000 0.5343 x1  4 Mo 2.63-2.77, 1 Zn 2.66

***

3.
The following is a GGA-PBE calculation of a relaxed structure of Zn2CdMo, from Alexandria via LeMat-Bulk.

ΔE_f   0.295 eV/atom
Uncorrected energy   -3.28 eV/atom

a b c (Å): 2.7981 4.1242 5.7336
angles (deg): 90.00 90.00 90.00
With the nearest neighbours (Å) after each atom.
Space group Pmm2 (No. 25)
Inequivalent atoms, fractional coordinates:
Zn 0.0000 0.0000 0.0000 x1  4 Mo 2.78, 6 Zn 2.80-2.90, 2 Cd 2.80-2.93
Zn 0.5000 0.5000 0.2590 x1  2 Mo 2.72-3.02, 6 Zn 2.80-2.90, 4 Cd 2.88
Cd 0.0000 0.0000 0.5111 x1  2 Cd 2.80, 6 Zn 2.80-2.93, 4 Mo 2.95
Mo 0.5000 0.5000 0.7853 x1  6 Zn 2.72-3.02, 2 Mo 2.80, 4 Cd 2.95

***

4.
The following is a GGA-PBE calculation of a relaxed structure of Zn2CdMo, from Alexandria via LeMat-Bulk.

ΔE_f   0.149 eV/atom
Uncorrected energy   -3.42 eV/atom

a b c (Å): 4.0792 4.0792 3.8566
angles (deg): 90.00 90.00 90.00
With the nearest neighbours (Å) after each atom.
Space group P4/mmm (No. 123)
Inequivalent atoms, fractional coordinates:
Zn 0.0000 0.5000 0.0000 x2  4 Mo 2.81, 4 Cd 2.81, 4 Zn 2.88
Cd 0.0000 0.0000 0.5000 x1  8 Zn 2.81, 4 Mo 2.88
Mo 0.5000 0.5000 0.5000 x1  8 Zn 2.81, 4 Cd 2.88

***

5.
The following is a GGA-PBE calculation of a relaxed structure of ZnCdMo4, from Alexandria via LeMat-Bulk.

ΔE_f   0.547 eV/atom
Uncorrected energy   -7.04 eV/atom

a b c (Å): 7.4839 7.4839 7.4839
angles (deg): 90.00 90.00 90.00
With the nearest neighbours (Å) after each atom.
Space group F-43m (No. 216)
Inequivalent atoms, fractional coordinates:
Zn 0.0000 0.0000 0.0000 x4  12 Mo 3.10, 4 Cd 3.24
Cd 0.2500 0.2500 0.7500 x4  12 Mo 3.10, 4 Zn 3.24
Mo 0.1252 0.1252 0.3748 x16  6 Mo 2.64-2.65

***

6.
The following is a GGA-PBE calculation of a relaxed structure of ZnCd2Mo, from Alexandria via LeMat-Bulk.

ΔE_f   0.333 eV/atom
Uncorrected energy   -3.15 eV/atom

a b c (Å): 9.9151 2.8715 5.2448
angles (deg): 90.00 103.95 90.00
With the nearest neighbours (Å) after each atom.
Space group Cm (No. 8)
Inequivalent atoms, fractional coordinates:
Zn 0.0000 0.0000 0.0000 x2  3 Mo 2.75-2.95, 4 Cd 2.80-2.91, 2 Zn 2.87
Cd 0.2587 0.0000 0.6994 x2  5 Cd 2.87-2.96, 2 Zn 2.91, 4 Mo 2.94-3.04
Cd 0.4980 0.0000 0.4578 x2  2 Zn 2.80, 5 Cd 2.87-2.96, 3 Mo 2.98-3.10
Mo 0.2405 0.5000 0.1803 x2  3 Zn 2.75-2.95, 2 Mo 2.87, 6 Cd 2.94-3.04

***

7.
The following is a GGA-PBE calculation of a relaxed structure of ZnCd4Mo, from Alexandria via LeMat-Bulk.

ΔE_f   0.604 eV/atom
Uncorrected energy   -2.02 eV/atom

a b c (Å): 7.9664 7.9664 7.9664
angles (deg): 90.00 90.00 90.00
With the nearest neighbours (Å) after each atom.
Space group F-43m (No. 216)
Inequivalent atoms, fractional coordinates:
Zn 0.0000 0.0000 0.0000 x4  12 Cd 3.30, 4 Mo 3.45
Cd 0.1248 0.1248 0.6248 x16  6 Cd 2.81-2.82
Mo 0.2500 0.2500 0.2500 x4  12 Cd 3.30, 4 Zn 3.45

***

8.
The following is a GGA-PBE calculation of a relaxed structure of ZnCdMo2, from Alexandria via LeMat-Bulk.

Energy relative to the lowest polymorph listed for this composition   0.221 eV/atom
ΔE_f   0.404 eV/atom
Uncorrected energy   -5.56 eV/atom

a b c (Å): 3.4119 3.4119 5.8299
angles (deg): 90.00 90.00 90.00
With the nearest neighbours (Å) after each atom.
Space group P4/mmm (No. 123)
Inequivalent atoms, fractional coordinates:
Zn 0.0000 0.0000 0.0000 x1  8 Mo 2.68, 2 Cd 2.91
Cd 0.0000 0.0000 0.5000 x1  2 Zn 2.91, 8 Mo 2.98
Mo 0.5000 0.5000 0.2008 x2  1 Mo 2.34

***

9.
The following is a GGA-PBE calculation of a relaxed structure of ZnCdMo2, from Alexandria via LeMat-Bulk.

Energy relative to the lowest polymorph listed for this composition   0.246 eV/atom
ΔE_f   0.429 eV/atom
Uncorrected energy   -5.53 eV/atom

a b c (Å): 2.8470 2.8470 28.4202
angles (deg): 90.00 90.00 120.00
With the nearest neighbours (Å) after each atom.
Space group R-3m (No. 166, hexagonal axes)
Inequivalent atoms, fractional coordinates:
Zn 0.0000 0.0000 0.0000 x3  6 Mo 2.78, 6 Zn 2.85
Cd 0.0000 0.0000 0.5000 x3  6 Cd 2.85, 6 Mo 2.99
Mo 0.0000 0.0000 0.2544 x6  3 Zn 2.78, 6 Mo 2.85, 3 Cd 2.99

***

10.
The following is a GGA-PBE calculation of a relaxed structure of ZnCdMo2, from Alexandria via LeMat-Bulk.

Energy relative to the lowest polymorph listed for this composition   0.135 eV/atom
ΔE_f   0.318 eV/atom
Uncorrected energy   -5.65 eV/atom

a b c (Å): 9.4008 2.7099 5.2335
angles (deg): 90.00 94.59 90.00
With the nearest neighbours (Å) after each atom.
Space group Cm (No. 8)
Inequivalent atoms, fractional coordinates:
Zn 0.0000 0.0000 0.0000 x2  2 Zn 2.71, 3 Cd 2.71-2.90, 5 Mo 2.84-2.91
Cd 0.2485 0.0000 0.7708 x2  2 Cd 2.71, 3 Zn 2.71-2.90, 7 Mo 2.92-3.02
Mo 0.2422 0.5000 0.2692 x2  5 Mo 2.61-2.91, 3 Zn 2.90-2.91
Mo 0.4993 0.0000 0.4770 x2  5 Mo 2.61-2.91, 2 Zn 2.84, 1 Cd 2.92

***

11.
The following is a GGA-PBE calculation of a relaxed structure of ZnCdMo2, from Alexandria via LeMat-Bulk.

Energy relative to the lowest polymorph listed for this composition   0.130 eV/atom
ΔE_f   0.313 eV/atom
Uncorrected energy   -5.65 eV/atom

a b c (Å): 3.3473 4.6545 8.6573
angles (deg): 90.00 90.00 90.00
With the nearest neighbours (Å) after each atom.
Space group Imm2 (No. 44)
Inequivalent atoms, fractional coordinates:
Zn 0.0000 0.0000 0.0000 x2  2 Cd 2.74, 6 Mo 2.80-2.88
Cd 0.0000 0.5000 0.7501 x2  2 Zn 2.74, 8 Mo 2.87-3.03
Mo 0.0000 0.0000 0.5258 x2  2 Mo 2.50
Mo 0.0000 0.5000 0.2400 x2  2 Mo 2.50

***

12.
The following is a GGA-PBE calculation of a relaxed structure of ZnCd2Mo, from Alexandria via LeMat-Bulk.

ΔE_f   0.234 eV/atom
Uncorrected energy   -3.25 eV/atom

a b c (Å): 2.8390 2.8390 9.0109
angles (deg): 90.00 90.00 90.00
With the nearest neighbours (Å) after each atom.
Space group P4mm (No. 99)
Inequivalent atoms, fractional coordinates:
Zn 0.0000 0.0000 0.0000 x1  4 Mo 2.78, 4 Zn 2.84, 4 Cd 3.02
Cd 0.0000 0.0000 0.5364 x1  4 Cd 2.84, 4 Mo 3.01
Cd 0.5000 0.5000 0.2508 x1  4 Cd 2.84, 4 Zn 3.02
Mo 0.5000 0.5000 0.7859 x1  4 Zn 2.78, 4 Mo 2.84, 4 Cd 3.01